1.
# Zr2TcNi PBE relaxed
data_Zr2TcNi
_chemical_formula_sum 'Zr8 Tc4 Ni4'
_space_group_name_H-M_alt 'F m -3 m'
_space_group_IT_number 225
_space_group_name_Hall '-F 4 2 3'
_cell_length_a 6.526
_cell_length_b 6.526
_cell_length_c 6.526
_cell_angle_alpha 90.00
_cell_angle_beta 90.00
_cell_angle_gamma 90.00
loop_
_atom_site_label
_atom_site_fract_x
_atom_site_fract_y
_atom_site_fract_z
Zr1 0.250 0.250 0.250
Tc1 0.000 0.000 0.000
Ni1 0.000 0.000 0.500
# uncorrected energy	-8.698	eV/atom
# N(E_F)	1.74	states/eV per atom



2.
# Al2InPd3 PBE relaxed
data_Al2InPd3
_chemical_formula_sum 'Al2 In1 Pd3'
_space_group_name_H-M_alt 'P 4/m m m'
_space_group_IT_number 123
_space_group_name_Hall '-P 4 2'
_cell_length_a 3.135
_cell_length_b 3.135
_cell_length_c 9.594
_cell_angle_alpha 90.00
_cell_angle_beta 90.00
_cell_angle_gamma 90.00
loop_
_atom_site_label
_atom_site_fract_x
_atom_site_fract_y
_atom_site_fract_z
Al1 0.000 0.000 0.157
In1 0.000 0.000 0.500
Pd1 0.500 0.500 0.000
Pd2 0.500 0.500 0.303
# uncorrected energy	-5.049	eV/atom
# N(E_F)	0.49	states/eV per atom



3.
# NaAgSeO4 PBE relaxed
data_NaAgSeO4
_chemical_formula_sum 'Na2 Ag2 Se2 O8'
_space_group_name_H-M_alt 'I -4'
_space_group_IT_number 82
_space_group_name_Hall 'I -4'
_cell_length_a 5.702
_cell_length_b 5.702
_cell_length_c 8.038
_cell_angle_alpha 90.00
_cell_angle_beta 90.00
_cell_angle_gamma 90.00
loop_
_atom_site_label
_atom_site_fract_x
_atom_site_fract_y
_atom_site_fract_z
Na1 0.000 0.000 0.000
Ag1 0.000 0.000 0.500
Se1 0.000 0.500 0.250
O1 0.168 0.323 0.132
# formation energy (no corrections)	-0.882	eV/atom
# N(E_F)	0.00	states/eV per atom



4.
# PmNdSm2Bi5 PBE relaxed
data_PmNdSm2Bi5
_chemical_formula_sum 'Pm1 Nd1 Sm2 Bi5'
_space_group_name_H-M_alt 'P 4/m m m'
_space_group_IT_number 123
_space_group_name_Hall '-P 4 2'
_cell_length_a 5.552
_cell_length_b 5.552
_cell_length_c 12.092
_cell_angle_alpha 90.00
_cell_angle_beta 90.00
_cell_angle_gamma 90.00
loop_
_atom_site_label
_atom_site_fract_x
_atom_site_fract_y
_atom_site_fract_z
Pm1 0.000 0.000 0.000
Nd1 0.000 0.000 0.500
Sm1 0.500 0.500 0.270
Bi1 0.000 0.000 0.246
Bi2 0.000 0.500 0.500
Bi3 0.500 0.500 0.000
# uncorrected energy	-4.248	eV/atom
# N(E_F)	0.71	states/eV per atom



5.
# TlNi3N PBE relaxed
data_TlNi3N
_chemical_formula_sum 'Tl1 Ni3 N1'
_space_group_name_H-M_alt 'P m -3 m'
_space_group_IT_number 221
_space_group_name_Hall '-P 4 2 3'
_cell_length_a 4.735
_cell_length_b 4.735
_cell_length_c 4.735
_cell_angle_alpha 90.00
_cell_angle_beta 90.00
_cell_angle_gamma 90.00
loop_
_atom_site_label
_atom_site_fract_x
_atom_site_fract_y
_atom_site_fract_z
Tl1 0.000 0.000 0.000
Ni1 0.000 0.000 0.500
N1 0.500 0.500 0.500
# offset from the most stable computed form	232.5	kJ per mole of atoms
# formation energy (no corrections)	2.517	eV/atom
# N(E_F)	2.18	states/eV per atom



6.
# HgCS2N PBE relaxed
data_HgCS2N
_chemical_formula_sum 'Hg1 C1 S2 N1'
_space_group_name_H-M_alt 'P 4/m m m'
_space_group_IT_number 123
_space_group_name_Hall '-P 4 2'
_cell_length_a 6.356
_cell_length_b 6.356
_cell_length_c 2.456
_cell_angle_alpha 90.00
_cell_angle_beta 90.00
_cell_angle_gamma 90.00
loop_
_atom_site_label
_atom_site_fract_x
_atom_site_fract_y
_atom_site_fract_z
Hg1 0.000 0.000 0.000
C1 0.500 0.500 0.500
S1 0.000 0.500 0.500
N1 0.500 0.500 0.000
# offset from the most stable computed form	0.0	kJ per mole of atoms
# formation energy (no corrections)	0.741	eV/atom
# N(E_F)	0.17	states/eV per atom



7.
# Sm8Zn2Bi PBE relaxed
data_Sm8Zn2Bi
_chemical_formula_sum 'Sm16 Zn4 Bi2'
_space_group_name_H-M_alt 'C 1 2/m 1'
_space_group_IT_number 12
_space_group_name_Hall '-C 2y'
_cell_length_a 16.551
_cell_length_b 5.323
_cell_length_c 8.613
_cell_angle_alpha 90.00
_cell_angle_beta 120.13
_cell_angle_gamma 90.00
loop_
_atom_site_label
_atom_site_fract_x
_atom_site_fract_y
_atom_site_fract_z
Sm1 0.069 0.000 0.219
Sm2 0.100 0.500 0.962
Sm3 0.150 0.000 0.708
Sm4 0.185 0.500 0.462
Zn1 0.218 0.000 0.110
Bi1 0.000 0.500 0.500
# uncorrected energy	-4.251	eV/atom
# N(E_F)	0.88	states/eV per atom



8.
# YTi3Sb2 PBE relaxed
data_YTi3Sb2
_chemical_formula_sum 'Y4 Ti12 Sb8'
_space_group_name_H-M_alt 'C 1 2/m 1'
_space_group_IT_number 12
_space_group_name_Hall '-C 2y'
_cell_length_a 16.901
_cell_length_b 4.121
_cell_length_c 8.511
_cell_angle_alpha 90.00
_cell_angle_beta 116.38
_cell_angle_gamma 90.00
loop_
_atom_site_label
_atom_site_fract_x
_atom_site_fract_y
_atom_site_fract_z
Y1 0.135 0.000 0.056
Ti1 0.058 0.000 0.421
Ti2 0.086 0.500 0.661
Ti3 0.191 0.500 0.478
Sb1 0.025 0.500 0.185
Sb2 0.216 0.000 0.743
# formation energy (no corrections)	-0.480	eV/atom
# N(E_F)	0.88	states/eV per atom



9.
# Ac2YAlS6 PBE relaxed
data_Ac2YAlS6
_chemical_formula_sum 'Ac4 Y2 Al2 S12'
_space_group_name_H-M_alt 'C 1 2/m 1'
_space_group_IT_number 12
_space_group_name_Hall '-C 2y'
_cell_length_a 11.964
_cell_length_b 6.878
_cell_length_c 7.071
_cell_angle_alpha 90.00
_cell_angle_beta 123.83
_cell_angle_gamma 90.00
loop_
_atom_site_label
_atom_site_fract_x
_atom_site_fract_y
_atom_site_fract_z
Ac1 0.244 0.000 0.223
Y1 0.000 0.000 0.500
Al1 0.000 0.500 0.000
S1 0.058 0.260 0.824
S2 0.236 0.500 0.338
# formation energy (no corrections)	-1.829	eV/atom
# N(E_F)	0.00	states/eV per atom



10.
# AlTeIr PBE relaxed
data_AlTeIr
_chemical_formula_sum 'Al2 Te2 Ir2'
_space_group_name_H-M_alt 'I 4 m m'
_space_group_IT_number 107
_space_group_name_Hall 'I 4 -2'
_cell_length_a 3.071
_cell_length_b 3.071
_cell_length_c 12.157
_cell_angle_alpha 90.00
_cell_angle_beta 90.00
_cell_angle_gamma 90.00
loop_
_atom_site_label
_atom_site_fract_x
_atom_site_fract_y
_atom_site_fract_z
Al1 0.000 0.000 0.000
Te1 0.000 0.000 0.286
Ir1 0.000 0.000 0.609
# offset from the most stable computed form	31.7	kJ per mole of atoms
# formation energy (no corrections)	0.001	eV/atom
# N(E_F)	0.49	states/eV per atom



11.
# Pr2SmPu PBE relaxed
data_Pr2SmPu
_chemical_formula_sum 'Pr6 Sm3 Pu3'
_space_group_name_H-M_alt 'R 3 m'
_space_group_IT_number 160
_space_group_name_Hall 'R 3 -2"'
_cell_length_a 3.6420
_cell_length_b 3.6420
_cell_length_c 35.2276
_cell_angle_alpha 90.00
_cell_angle_beta 90.00
_cell_angle_gamma 120.00
loop_
_atom_site_label
_atom_site_fract_x
_atom_site_fract_y
_atom_site_fract_z
Pr1 0.0000 0.0000 0.0000
Pr2 0.0000 0.0000 0.1705
Sm1 0.0000 0.0000 0.4186
Pu1 0.0000 0.0000 0.5854
# offset from the most stable computed form	1.1	kJ per mole of atoms
# N(E_F)	3.02	states/eV per atom



12.
# Ac3NiHg2 PBE relaxed
data_Ac3NiHg2
_chemical_formula_sum 'Ac12 Ni4 Hg8'
_space_group_name_H-M_alt 'C 1 2/c 1'
_space_group_IT_number 15
_space_group_name_Hall '-C 2yc'
_cell_length_a 16.888
_cell_length_b 5.628
_cell_length_c 8.158
_cell_angle_alpha 90.00
_cell_angle_beta 90.04
_cell_angle_gamma 90.00
loop_
_atom_site_label
_atom_site_fract_x
_atom_site_fract_y
_atom_site_fract_z
Ac1 0.000 0.001 0.250
Ac2 0.137 0.500 0.000
Ni1 0.000 0.500 0.250
Hg1 0.197 0.000 0.250
# offset from the most stable computed form	1.7	kJ per mole of atoms
# N(E_F)	0.98	states/eV per atom



13.
# Tc2PtCl PBE relaxed
data_Tc2PtCl
_chemical_formula_sum 'Tc4 Pt2 Cl2'
_space_group_name_H-M_alt 'C m m m'
_space_group_IT_number 65
_space_group_name_Hall '-C 2 2'
_cell_length_a 2.792
_cell_length_b 4.998
_cell_length_c 8.970
_cell_angle_alpha 90.00
_cell_angle_beta 90.00
_cell_angle_gamma 90.00
loop_
_atom_site_label
_atom_site_fract_x
_atom_site_fract_y
_atom_site_fract_z
Tc1 0.000 0.000 0.241
Pt1 0.000 0.500 0.500
Cl1 0.000 0.500 0.000
# offset from the most stable computed form	42.9	kJ per mole of atoms
# formation energy (no corrections)	0.563	eV/atom
# N(E_F)	1.13	states/eV per atom



14.
# WSe3I PBE relaxed
data_WSe3I
_chemical_formula_sum 'W1 Se3 I1'
_space_group_name_H-M_alt 'P m -3 m'
_space_group_IT_number 221
_space_group_name_Hall '-P 4 2 3'
_cell_length_a 4.981
_cell_length_b 4.981
_cell_length_c 4.981
_cell_angle_alpha 90.00
_cell_angle_beta 90.00
_cell_angle_gamma 90.00
loop_
_atom_site_label
_atom_site_fract_x
_atom_site_fract_y
_atom_site_fract_z
W1 0.000 0.000 0.000
Se1 0.000 0.000 0.500
I1 0.500 0.500 0.500
# offset from the most stable computed form	47.2	kJ per mole of atoms
# formation energy (no corrections)	0.255	eV/atom
# N(E_F)	1.18	states/eV per atom



15.
# LiY2SnS PBE relaxed
data_LiY2SnS
_chemical_formula_sum 'Li1 Y2 Sn1 S1'
_space_group_name_H-M_alt 'P 4/m m m'
_space_group_IT_number 123
_space_group_name_Hall '-P 4 2'
_cell_length_a 5.235
_cell_length_b 5.235
_cell_length_c 4.466
_cell_angle_alpha 90.00
_cell_angle_beta 90.00
_cell_angle_gamma 90.00
loop_
_atom_site_label
_atom_site_fract_x
_atom_site_fract_y
_atom_site_fract_z
Li1 0.000 0.000 0.000
Y1 0.000 0.500 0.500
Sn1 0.500 0.500 0.000
S1 0.000 0.000 0.500
# formation energy (no corrections)	-1.042	eV/atom
# N(E_F)	0.44	states/eV per atom



16.
# Nd2NpPaN4 PBE relaxed
data_Nd2NpPaN4
_chemical_formula_sum 'Nd2 Np1 Pa1 N4'
_space_group_name_H-M_alt 'P 1 2/m 1'
_space_group_IT_number 10
_space_group_name_Hall '-P 2y'
_cell_length_a 6.148
_cell_length_b 3.547
_cell_length_c 6.197
_cell_angle_alpha 90.00
_cell_angle_beta 109.56
_cell_angle_gamma 90.00
loop_
_atom_site_label
_atom_site_fract_x
_atom_site_fract_y
_atom_site_fract_z
Nd1 0.000 0.000 0.000
Nd2 0.500 0.500 0.000
Np1 0.000 0.500 0.500
Pa1 0.500 0.000 0.500
N1 0.238 0.000 0.714
N2 0.266 0.500 0.285
# formation energy (no corrections)	-1.413	eV/atom
# N(E_F)	1.34	states/eV per atom